# NaAs2SeO, relaxed, DFT GGA-PBE
data_NaAs2SeO
_cell_length_a 4.3450
_cell_length_b 4.3450
_cell_length_c 5.0239
_cell_angle_alpha 90.00
_cell_angle_beta 90.00
_cell_angle_gamma 90.00
_symmetry_space_group_name_H-M 'P 1'
_symmetry_Int_Tables_number 1
_symmetry_space_group_name_Hall 'P 1'
loop_
_atom_site_label
_atom_site_type_symbol
_atom_site_fract_x
_atom_site_fract_y
_atom_site_fract_z
Na1 Na 0.0000 0.0000 0.0000
As1 As 0.0000 0.5000 0.5000
As2 As 0.5000 0.0000 0.5000
Se1 Se 0.5000 0.5000 0.0000
O1 O 0.5000 0.5000 0.5000
# density of states at the Fermi level	4.04	states/eV/f.u.
# E_form (uncorrected)	0.052	eV/atom
# VASP energy	-18.80	eV per cell
# energy relative to the lowest polymorph listed for this composition	0	meV/atom

# NaAs2SeO, relaxed, DFT GGA-PBE
data_NaAs2SeO
_cell_length_a 5.0335
_cell_length_b 5.0335
_cell_length_c 4.8547
_cell_angle_alpha 90.00
_cell_angle_beta 90.00
_cell_angle_gamma 90.00
_symmetry_space_group_name_H-M 'P 1'
_symmetry_Int_Tables_number 1
_symmetry_space_group_name_Hall 'P 1'
loop_
_atom_site_label
_atom_site_type_symbol
_atom_site_fract_x
_atom_site_fract_y
_atom_site_fract_z
Na1 Na 0.0000 0.0000 0.0000
As1 As 0.0000 0.5000 0.0000
As2 As 0.5000 0.0000 0.0000
Se1 Se 0.0000 0.0000 0.5000
O1 O 0.5000 0.5000 0.5000
# density of states at the Fermi level	13.11	states/eV/f.u.
# E_form (uncorrected)	1.508	eV/atom
# VASP energy	-11.52	eV per cell
# energy relative to the lowest polymorph listed for this composition	1456	meV/atom

# NaAsSeO6, relaxed, DFT GGA-PBE
data_NaAsSeO6
_cell_length_a 4.8788
_cell_length_b 4.8788
_cell_length_c 10.6442
_cell_angle_alpha 90.00
_cell_angle_beta 90.00
_cell_angle_gamma 120.00
_symmetry_space_group_name_H-M 'P 1'
_symmetry_Int_Tables_number 1
_symmetry_space_group_name_Hall 'P 1'
loop_
_atom_site_label
_atom_site_type_symbol
_atom_site_fract_x
_atom_site_fract_y
_atom_site_fract_z
Na1 Na 0.0000 0.0000 0.0000
Na2 Na 0.0000 0.0000 0.5000
As1 As 0.3333 0.6667 0.2500
As2 As 0.6667 0.3333 0.7500
Se1 Se 0.3333 0.6667 0.7500
Se2 Se 0.6667 0.3333 0.2500
O1 O 0.0051 0.3809 0.6514
O2 O 0.0051 0.6242 0.8486
O3 O 0.3758 0.3809 0.8486
O4 O 0.3758 0.9949 0.6514
O5 O 0.3809 0.0051 0.1514
O6 O 0.3809 0.3758 0.3486
O7 O 0.6191 0.6242 0.6514
O8 O 0.6191 0.9949 0.8486
O9 O 0.6242 0.0051 0.3486
O10 O 0.6242 0.6191 0.1514
O11 O 0.9949 0.3758 0.1514
O12 O 0.9949 0.6191 0.3486
# density of states at the Fermi level	0.00	states/eV/f.u.
# E_form (uncorrected)	-1.057	eV/atom
# VASP energy	-97.43	eV per cell

# NaAs2SeO8, relaxed, DFT GGA-PBE
data_NaAs2SeO8
_cell_length_a 9.1800
_cell_length_b 9.1800
_cell_length_c 9.1800
_cell_angle_alpha 31.01
_cell_angle_beta 31.01
_cell_angle_gamma 31.01
_symmetry_space_group_name_H-M 'P 1'
_symmetry_Int_Tables_number 1
_symmetry_space_group_name_Hall 'P 1'
loop_
_atom_site_label
_atom_site_type_symbol
_atom_site_fract_x
_atom_site_fract_y
_atom_site_fract_z
Na1 Na 0.0000 0.0000 0.0000
As1 As 0.2393 0.2393 0.2393
As2 As 0.7607 0.7607 0.7607
Se1 Se 0.5000 0.5000 0.5000
O1 O 0.1347 0.4678 0.7478
O2 O 0.2522 0.5322 0.8653
O3 O 0.3032 0.3032 0.3032
O4 O 0.4678 0.7478 0.1347
O5 O 0.5322 0.8653 0.2522
O6 O 0.6968 0.6968 0.6968
O7 O 0.7478 0.1347 0.4678
O8 O 0.8653 0.2522 0.5322
# density of states at the Fermi level	4.43	states/eV/f.u.
# E_form (uncorrected)	-0.837	eV/atom
# VASP energy	-63.81	eV per cell

# NaAsSe2O8, relaxed, DFT GGA-PBE
data_NaAsSe2O8
_cell_length_a 8.9275
_cell_length_b 8.9275
_cell_length_c 8.9275
_cell_angle_alpha 32.72
_cell_angle_beta 32.72
_cell_angle_gamma 32.72
_symmetry_space_group_name_H-M 'P 1'
_symmetry_Int_Tables_number 1
_symmetry_space_group_name_Hall 'P 1'
loop_
_atom_site_label
_atom_site_type_symbol
_atom_site_fract_x
_atom_site_fract_y
_atom_site_fract_z
Na1 Na 0.0000 0.0000 0.0000
As1 As 0.5000 0.5000 0.5000
Se1 Se 0.2448 0.2448 0.2448
Se2 Se 0.7552 0.7552 0.7552
O1 O 0.1053 0.4728 0.7550
O2 O 0.2450 0.5272 0.8947
O3 O 0.3099 0.3099 0.3099
O4 O 0.4728 0.7550 0.1053
O5 O 0.5272 0.8947 0.2450
O6 O 0.6901 0.6901 0.6901
O7 O 0.7550 0.1053 0.4728
O8 O 0.8947 0.2450 0.5272
# density of states at the Fermi level	0.00	states/eV/f.u.
# E_form (uncorrected)	-0.770	eV/atom
# VASP energy	-61.84	eV per cell

# NaSi2AsO, relaxed, DFT GGA-PBE
data_NaSi2AsO
_cell_length_a 5.1256
_cell_length_b 5.1256
_cell_length_c 3.7803
_cell_angle_alpha 90.00
_cell_angle_beta 90.00
_cell_angle_gamma 90.00
_symmetry_space_group_name_H-M 'P 1'
_symmetry_Int_Tables_number 1
_symmetry_space_group_name_Hall 'P 1'
loop_
_atom_site_label
_atom_site_type_symbol
_atom_site_fract_x
_atom_site_fract_y
_atom_site_fract_z
Na1 Na 0.0000 0.0000 0.0000
Si1 Si 0.0000 0.5000 0.5000
Si2 Si 0.5000 0.0000 0.5000
As1 As 0.5000 0.5000 0.5000
O1 O 0.5000 0.5000 0.0000
# density of states at the Fermi level	2.98	states/eV/f.u.
# E_form (uncorrected)	0.388	eV/atom
# VASP energy	-19.83	eV per cell

# Na4Sm3AsO8, relaxed, DFT GGA-PBE
data_Na4Sm3AsO8
_cell_length_a 6.8837
_cell_length_b 6.8837
_cell_length_c 6.8837
_cell_angle_alpha 60.31
_cell_angle_beta 60.31
_cell_angle_gamma 60.31
_symmetry_space_group_name_H-M 'P 1'
_symmetry_Int_Tables_number 1
_symmetry_space_group_name_Hall 'P 1'
loop_
_atom_site_label
_atom_site_type_symbol
_atom_site_fract_x
_atom_site_fract_y
_atom_site_fract_z
Na1 Na 0.0000 0.0000 0.0000
Na2 Na 0.0000 0.5000 0.5000
Na3 Na 0.5000 0.0000 0.5000
Na4 Na 0.5000 0.5000 0.0000
Sm1 Sm 0.0000 0.0000 0.5000
Sm2 Sm 0.0000 0.5000 0.0000
Sm3 Sm 0.5000 0.0000 0.0000
As1 As 0.5000 0.5000 0.5000
O1 O 0.2386 0.2386 0.2386
O2 O 0.2499 0.7326 0.7326
O3 O 0.2674 0.2674 0.7501
O4 O 0.2674 0.7501 0.2674
O5 O 0.7326 0.2499 0.7326
O6 O 0.7326 0.7326 0.2499
O7 O 0.7501 0.2674 0.2674
O8 O 0.7614 0.7614 0.7614
# density of states at the Fermi level	0.00	states/eV/f.u.
# E_form (uncorrected)	-2.282	eV/atom
# VASP energy	-100.27	eV per cell

# Na2SmAs2O6, relaxed, DFT GGA-PBE
data_Na2SmAs2O6
_cell_length_a 5.8544
_cell_length_b 5.8544
_cell_length_c 5.9497
_cell_angle_alpha 90.00
_cell_angle_beta 90.00
_cell_angle_gamma 120.00
_symmetry_space_group_name_H-M 'P 1'
_symmetry_Int_Tables_number 1
_symmetry_space_group_name_Hall 'P 1'
loop_
_atom_site_label
_atom_site_type_symbol
_atom_site_fract_x
_atom_site_fract_y
_atom_site_fract_z
Na1 Na 0.3333 0.6667 0.4026
Na2 Na 0.6667 0.3333 0.5974
Sm1 Sm 0.0000 0.0000 0.0000
As1 As 0.3333 0.6667 0.8978
As2 As 0.6667 0.3333 0.1022
O1 O 0.0910 0.7227 0.7687
O2 O 0.2773 0.3684 0.7687
O3 O 0.3684 0.0910 0.2313
O4 O 0.6316 0.9090 0.7687
O5 O 0.7227 0.6316 0.2313
O6 O 0.9090 0.2773 0.2313
# density of states at the Fermi level	4.47	states/eV/f.u.
# E_form (uncorrected)	-1.810	eV/atom
# VASP energy	-66.32	eV per cell

# NaSnAsO6, relaxed, DFT GGA-PBE
data_NaSnAsO6
_cell_length_a 5.2547
_cell_length_b 5.2547
_cell_length_c 10.1106
_cell_angle_alpha 90.00
_cell_angle_beta 90.00
_cell_angle_gamma 120.00
_symmetry_space_group_name_H-M 'P 1'
_symmetry_Int_Tables_number 1
_symmetry_space_group_name_Hall 'P 1'
loop_
_atom_site_label
_atom_site_type_symbol
_atom_site_fract_x
_atom_site_fract_y
_atom_site_fract_z
Na1 Na 0.0000 0.0000 0.0000
Na2 Na 0.0000 0.0000 0.5000
Sn1 Sn 0.3333 0.6667 0.2500
Sn2 Sn 0.6667 0.3333 0.7500
As1 As 0.3333 0.6667 0.7500
As2 As 0.6667 0.3333 0.2500
O1 O 0.0361 0.3809 0.6467
O2 O 0.0361 0.6552 0.8533
O3 O 0.3448 0.3809 0.8533
O4 O 0.3448 0.9639 0.6467
O5 O 0.3809 0.0361 0.1467
O6 O 0.3809 0.3448 0.3533
O7 O 0.6191 0.6552 0.6467
O8 O 0.6191 0.9639 0.8533
O9 O 0.6552 0.0361 0.3533
O10 O 0.6552 0.6191 0.1467
O11 O 0.9639 0.3448 0.1467
O12 O 0.9639 0.6191 0.3533
# density of states at the Fermi level	4.87	states/eV/f.u.
# E_form (uncorrected)	-1.086	eV/atom
# VASP energy	-98.98	eV per cell

# NaSnAsO5, relaxed, DFT GGA-PBE
data_NaSnAsO5
_cell_length_a 5.7606
_cell_length_b 5.7606
_cell_length_c 7.3384
_cell_angle_alpha 104.55
_cell_angle_beta 104.55
_cell_angle_gamma 104.99
_symmetry_space_group_name_H-M 'P 1'
_symmetry_Int_Tables_number 1
_symmetry_space_group_name_Hall 'P 1'
loop_
_atom_site_label
_atom_site_type_symbol
_atom_site_fract_x
_atom_site_fract_y
_atom_site_fract_z
Na1 Na 0.1698 0.8302 0.7500
Na2 Na 0.8302 0.1698 0.2500
Sn1 Sn 0.5000 0.5000 0.0000
Sn2 Sn 0.5000 0.5000 0.5000
As1 As 0.1803 0.8197 0.2500
As2 As 0.8197 0.1803 0.7500
O1 O 0.1157 0.2445 0.9197
O2 O 0.1778 0.6040 0.3768
O3 O 0.2445 0.1157 0.4197
O4 O 0.3960 0.8222 0.1232
O5 O 0.4179 0.5821 0.7500
O6 O 0.5821 0.4179 0.2500
O7 O 0.6040 0.1778 0.8768
O8 O 0.7555 0.8843 0.5803
O9 O 0.8222 0.3960 0.6232
O10 O 0.8843 0.7555 0.0803
# density of states at the Fermi level	0.00	states/eV/f.u.
# E_form (uncorrected)	-1.556	eV/atom
# VASP energy	-94.42	eV per cell

# Na2SrAsO4, relaxed, DFT GGA-PBE
data_Na2SrAsO4
_cell_length_a 6.1287
_cell_length_b 6.1287
_cell_length_c 6.1287
_cell_angle_alpha 127.67
_cell_angle_beta 127.67
_cell_angle_gamma 77.15
_symmetry_space_group_name_H-M 'P 1'
_symmetry_Int_Tables_number 1
_symmetry_space_group_name_Hall 'P 1'
loop_
_atom_site_label
_atom_site_type_symbol
_atom_site_fract_x
_atom_site_fract_y
_atom_site_fract_z
Na1 Na 0.0000 0.0000 0.0000
Na2 Na 0.7500 0.2500 0.5000
Sr1 Sr 0.5000 0.5000 0.0000
As1 As 0.2500 0.7500 0.5000
O1 O 0.1494 0.6598 0.1009
O2 O 0.3402 0.4411 0.4896
O3 O 0.5589 0.0486 0.8991
O4 O 0.9514 0.8506 0.5104
# density of states at the Fermi level	1.74	states/eV/f.u.
# E_form (uncorrected)	-1.708	eV/atom
# VASP energy	-42.46	eV per cell

# NaSr2As2O6, relaxed, DFT GGA-PBE
data_NaSr2As2O6
_cell_length_a 6.1047
_cell_length_b 6.1047
_cell_length_c 6.6348
_cell_angle_alpha 90.00
_cell_angle_beta 90.00
_cell_angle_gamma 120.00
_symmetry_space_group_name_H-M 'P 1'
_symmetry_Int_Tables_number 1
_symmetry_space_group_name_Hall 'P 1'
loop_
_atom_site_label
_atom_site_type_symbol
_atom_site_fract_x
_atom_site_fract_y
_atom_site_fract_z
Na1 Na 0.0000 0.0000 0.0000
Sr1 Sr 0.3333 0.6667 0.8506
Sr2 Sr 0.6667 0.3333 0.1494
As1 As 0.3333 0.6667 0.3112
As2 As 0.6667 0.3333 0.6888
O1 O 0.0949 0.3926 0.1893
O2 O 0.2976 0.9051 0.1893
O3 O 0.3926 0.2976 0.8107
O4 O 0.6074 0.7024 0.1893
O5 O 0.7024 0.0949 0.8107
O6 O 0.9051 0.6074 0.8107
# density of states at the Fermi level	4.18	states/eV/f.u.
# E_form (uncorrected)	-1.906	eV/atom
# VASP energy	-64.70	eV per cell